Computed, not measured: a geometry-optimized PmEr2Zn structure at the PBE level of DFT.

Properties
The calculated volume comes out at 27.397 Å³ per atom. Its space-group type is P4/mmm. The crystal system is tetragonal. The energy above the lowest structure with this stoichiometry is 0 kJ/mol of formula units. The energy of formation is -166.4 meV/atom. Its total energy is -3.954 eV/atom.

a = 3.5541 Å, b = 3.5541 Å, c = 8.6756 Å
α = 90.00°, β = 90.00°, γ = 90.00°
Fractional positions:
Pm: 0.0000 0.0000 0.0000
Er: 0.5000 0.5000 0.2980
Er: 0.5000 0.5000 0.7020
Zn: 0.0000 0.0000 0.5000



Computed, not measured: a geometry-optimized PmEr2Zn2 structure at the PBE level of DFT.

Properties
The calculated volume comes out at 24.788 Å³ per atom. Its space-group type is Cmc2_1. The crystal system is orthorhombic. The energy above the lowest structure with this stoichiometry is 31 kJ/mol of formula units. The energy of formation is -195.0 meV/atom. Its total energy is -3.480 eV/atom.

a = 8.0826 Å, b = 8.0826 Å, c = 6.2032 Å
α = 90.00°, β = 90.00°, γ = 142.29°
Fractional positions:
Pm: 0.0841 0.9159 0.5000
Pm: 0.9159 0.0841 0.0000
Er: 0.2994 0.7006 0.2599
Er: 0.4585 0.5415 0.6481
Er: 0.5415 0.4585 0.1481
Er: 0.7006 0.2994 0.7599
Zn: 0.1270 0.8730 0.9941
Zn: 0.2800 0.7200 0.7662
Zn: 0.7200 0.2800 0.2662
Zn: 0.8730 0.1270 0.4941



Computed, not measured: a geometry-optimized Pm2ErZn structure at the PBE level of DFT.

Properties
The calculated volume comes out at 29.889 Å³ per atom. Its space-group type is R3m. The crystal system is trigonal. The energy above the lowest structure with this stoichiometry is 51 kJ/mol of formula units. The energy of formation is -24.9 meV/atom. Its total energy is -3.859 eV/atom.

a = 3.6423 Å, b = 3.6423 Å, c = 31.2193 Å
α = 90.00°, β = 90.00°, γ = 120.00°
Fractional positions:
Pm: 0.0000 0.0000 0.0000
Pm: 0.0000 0.0000 0.1859
Pm: 0.3333 0.6667 0.6667
Pm: 0.3333 0.6667 0.8526
Pm: 0.6667 0.3333 0.3333
Pm: 0.6667 0.3333 0.5192
Er: 0.0000 0.0000 0.4262
Er: 0.3333 0.6667 0.0929
Er: 0.6667 0.3333 0.7595
Zn: 0.0000 0.0000 0.5927
Zn: 0.3333 0.6667 0.2594
Zn: 0.6667 0.3333 0.9261



Q: What is the formula in the third record?
A: Pm2ErZn



Q: What is the energy above the lowest structure with this stoichiometry in the first record?
A: 0 kJ/mol of formula units



Q: Which value of energy above the lowest structure with this stoichiometry does entry 1 give?
A: 0 kJ/mol of formula units



Q: Among the records above, which one has the lowest energy of formation?
A: PmEr2Zn2